AgI (PBE, optimized geometry); M_tot = 0.00 μB/f.u.; crystal system = tetragonal; SG = I4/m; formation energy (no corrections) = -20.99 kJ/mol of atoms
1.0
-7.685 1.491 -9.159
-3.961 -11.281 1.488
-3.264 1.540 2.989
I Ag
8 8
Cartesian
-3.458 -2.112 0.986
-3.997 -2.013 -3.327
-7.646 0.742 -5.057
-4.152 -6.414 -1.228
-11.452 -6.138 -5.668
-7.494 -3.376 -6.443
-7.649 -7.778 -4.344
-7.264 -8.992 0.375
-5.558 -1.136 -5.483
-6.088 -8.655 -2.188
-2.883 -3.917 -1.130
-8.763 -5.874 -6.542
-5.328 -6.751 1.335
-9.582 -1.499 -6.017
-10.338 -8.043 -3.471
-4.572 -0.208 -1.211

***

ZrCu3B (PBE, optimized geometry); M_tot = 0.00 μB/f.u.; crystal system = cubic; SG = Pm-3m; DFT formation energy = 2189 meV/atom
1.0
-0.705 -4.803 0.826
4.550 -0.948 -1.629
1.748 0.530 4.574
Cu Zr B
3 1 1
Cartesian
-0.353 -2.402 0.413
2.275 -0.474 -0.814
0.874 0.265 2.287
0.000 0.000 0.000
2.796 -2.611 1.885

***

Number 1: electronic total energy -2.418 eV/atom. Number 2: electronic total energy -3.314 eV/atom.